Mn2AgPdRu: optimized geometry, PBE.

Values from the calculation:
VASP energy = -5.76 eV/atom

extended XYZ file:
```
5
Lattice="4.697 0.000 0.000 0.000 4.916 0.000 0.000 0.000 4.697" Properties=species:S:1:pos:R:3 pbc="T T T"
Ag 0.000 2.458 0.000
Mn 2.348 0.000 0.000
Ru 2.348 2.458 2.348
Pd 0.000 0.000 0.000
Mn 0.000 0.000 2.348
```

RbLa2CrMo: optimized geometry, PBE.

Values from the calculation:
VASP energy = -4.19 eV/atom

extended XYZ file:
```
5
Lattice="-4.820 -1.420 -2.564 2.511 -1.905 -3.665 0.066 -4.986 2.638" Properties=species:S:1:pos:R:3 pbc="T T T"
Mo -1.122 -4.156 -1.795
Cr 1.255 -0.953 -1.832
Rb 0.000 0.000 0.000
La 0.033 -2.493 1.319
La -2.410 -0.710 -1.282
```

HfZrGaFe: optimized geometry, PBE.

Values from the calculation:
VASP energy = -7.77 eV/atom

extended XYZ file:
```
4
Lattice="4.638 0.000 0.000 2.319 4.016 0.000 2.319 1.339 3.787" Properties=species:S:1:pos:R:3 pbc="T T T"
Fe 4.638 2.678 1.893
Hf 2.319 1.339 0.947
Ga 0.000 0.000 0.000
Zr 6.957 4.016 2.840
```

K2Ca2Ag: optimized geometry, PBE.

Values from the calculation:
E above lowest polymorph = 0.0000 eV per atom

extended XYZ file:
```
10
Lattice="8.096 0.000 0.000 0.000 8.096 0.000 0.000 0.000 7.097" Properties=species:S:1:pos:R:3 pbc="T T T"
Ca 2.689 6.737 0.000
Ag 4.048 4.048 0.000
K 6.654 2.606 3.549
K 1.442 5.490 3.549
K 2.606 1.442 3.549
Ag 0.000 0.000 0.000
Ca 6.737 5.407 0.000
Ca 5.407 1.359 0.000
Ca 1.359 2.689 0.000
K 5.490 6.654 3.549
```

Rb2NbSb: optimized geometry, PBE.

Values from the calculation:
Uncorrected formation energy = 0.55 eV/atom

extended XYZ file:
```
8
Lattice="13.622 0.000 0.000 0.000 13.622 0.000 6.811 6.811 2.730" Properties=species:S:1:pos:R:3 pbc="T T T"
Sb 0.000 0.000 0.000
Sb 13.622 6.811 1.365
Nb 6.811 13.622 1.365
Rb 12.617 3.406 0.682
Nb 6.811 6.811 0.000
Rb 10.217 7.816 2.047
Rb 14.628 10.217 0.682
Rb 17.028 5.806 2.047
```

Ba8Pt4Br: optimized geometry, PBE.

Values from the calculation:
Uncorrected formation energy = -0.79 eV/atom

extended XYZ file:
```
13
Lattice="4.547 0.000 0.983 2.082 11.465 1.378 -0.144 -0.024 11.672" Properties=species:S:1:pos:R:3 pbc="T T T"
Pt 2.429 5.266 10.782
Pt 4.016 5.951 3.440
Ba 2.930 3.110 8.461
Pt 5.433 9.368 7.892
Br 4.541 9.486 12.018
Ba 2.776 10.608 9.177
Ba 3.675 0.656 5.015
Ba 5.017 6.829 9.819
Ba 1.417 4.482 4.451
Ba 4.370 3.794 12.812
Ba 3.522 8.143 5.725
Ba 2.078 7.442 1.398
Pt 1.027 1.883 6.256
```

| no. | N(E_F) (states/eV per cell) |
| --- | --- |
| 1 | 3.4 |
| 2 | 5.7 |
| 3 | 3.2 |
| 4 | 10.7 |
| 5 | 5.4 |
| 6 | 5.9 |